KSr3In | PBE | relaxed

The formation energy is 0.747 eV/atom. For the total energy, the calculation gives -1.029 eV/atom.

The structure belongs to space group Pm-3m (No. 221); the cell edges are 6.718, 6.718 and 6.718 Å and the angles 90.00°, 90.00° and 90.00°. The asymmetric unit holds K at (0.000, 0.000, 0.000), Sr at (0.000, 0.000, 0.500) and In at (0.500, 0.500, 0.500).

***

CaLa2Ce3Te6 | PBE | relaxed

For the total energy, the calculation gives -5.516 eV/atom.

The structure belongs to space group C2/m (No. 12); the cell edges are 19.808, 4.501 and 9.119 Å and the angles 90.00°, 103.92° and 90.00°. The asymmetric unit holds Ca at (0.000, 0.000, 0.000), La at (0.169, 0.500, 0.337), Ce at (0.000, 0.000, 0.500), Ce at (0.169, 0.500, 0.832), Te at (0.001, 0.500, 0.755), Te at (0.164, 0.000, 0.078) and Te at (0.164, 0.000, 0.586).

***

ZnSi2Rh4 | PBE | relaxed

For the total energy, the calculation gives -6.631 eV/atom.

The structure belongs to space group P4/mmm (No. 123); the cell edges are 4.099, 4.099 and 5.793 Å and the angles 90.00°, 90.00° and 90.00°. The asymmetric unit holds Zn at (0.000, 0.000, 0.000), Si at (0.000, 0.000, 0.500), Si at (0.500, 0.500, 0.000) and Rh at (0.000, 0.500, 0.258).

***

Ag2AuSe | PBE | relaxed

For the total energy, the calculation gives -3.028 eV/atom.

The structure belongs to space group I-4m2 (No. 119); the cell edges are 4.184, 4.184 and 8.639 Å and the angles 90.00°, 90.00° and 90.00°. The asymmetric unit holds Ag at (0.000, 0.000, 0.000), Ag at (0.000, 0.500, 0.250), Au at (0.000, 0.500, 0.750) and Se at (0.000, 0.000, 0.500).

***

LaPrTm4 | PBE | relaxed

The formation energy is 0.148 eV/atom. For the total energy, the calculation gives -4.451 eV/atom.

The structure belongs to space group C2/c (No. 15); the cell edges are 8.827, 14.776 and 6.476 Å and the angles 90.00°, 108.62° and 90.00°. The asymmetric unit holds La at (0.000, 0.083, 0.250), Pr at (0.000, 0.492, 0.750), Tm at (0.093, 0.305, 0.527) and Tm at (0.204, 0.140, 0.880).

***

ZnMoSe3 | PBE | relaxed

For the total energy, the calculation gives -4.292 eV/atom.

The structure belongs to space group Pm-3m (No. 221); the cell edges are 4.960, 4.960 and 4.960 Å and the angles 90.00°, 90.00° and 90.00°. The asymmetric unit holds Zn at (0.000, 0.000, 0.000), Mo at (0.500, 0.500, 0.500) and Se at (0.000, 0.500, 0.500).